# SnHg2Pb6 | Alexandria | PBE | relaxed
data_SnHg2Pb6
_chemical_formula_sum 'Sn2 Hg4 Pb12'
_cell_length_a 4.853
_cell_length_b 9.493
_cell_length_c 12.504
_cell_angle_alpha 80.02
_cell_angle_beta 90.02
_cell_angle_gamma 89.96
_space_group_name_H-M_alt 'P 1'
_space_group_IT_number 1
loop_
_space_group_symop_operation_xyz
'x,y,z'
loop_
_atom_site_label
_atom_site_fract_x
_atom_site_fract_y
_atom_site_fract_z
Sn1 0.249 0.174 0.797
Sn2 0.751 0.826 0.203
Hg1 0.249 0.669 0.765
Hg2 0.247 0.372 0.446
Hg3 0.751 0.331 0.235
Hg4 0.753 0.628 0.554
Pb1 0.252 0.771 0.399
Pb2 0.251 0.564 0.207
Pb3 0.748 0.229 0.601
Pb4 0.749 0.436 0.793
Pb5 0.751 0.028 0.400
Pb6 0.750 0.622 0.007
Pb7 0.249 0.972 0.600
Pb8 0.250 0.378 0.993
Pb9 0.250 0.873 0.001
Pb10 0.251 0.087 0.202
Pb11 0.750 0.127 0.999
Pb12 0.749 0.913 0.798
# E_form (eV per atom): 0.03
# Energy above the most stable polymorph in this dataset (meV per atom): 0

***

# Pr3Cd5In | Alexandria | PBE | relaxed
data_Pr3Cd5In
_chemical_formula_sum 'Pr6 Cd10 In2'
_cell_length_a 6.573
_cell_length_b 9.228
_cell_length_c 9.228
_cell_angle_alpha 120.00
_cell_angle_beta 90.00
_cell_angle_gamma 90.00
_space_group_name_H-M_alt 'P 1'
_space_group_IT_number 1
loop_
_space_group_symop_operation_xyz
'x,y,z'
loop_
_atom_site_label
_atom_site_fract_x
_atom_site_fract_y
_atom_site_fract_z
Pr1 0.750 0.323 0.323
Pr2 0.750 0.000 0.677
Pr3 0.750 0.677 0.000
Pr4 0.250 0.677 0.677
Pr5 0.250 0.000 0.323
Pr6 0.250 0.323 0.000
Cd1 0.000 0.667 0.333
Cd2 0.500 0.333 0.667
Cd3 0.000 0.333 0.667
Cd4 0.500 0.667 0.333
Cd5 0.750 0.654 0.654
Cd6 0.750 0.000 0.346
Cd7 0.750 0.346 0.000
Cd8 0.250 0.346 0.346
Cd9 0.250 0.000 0.654
Cd10 0.250 0.654 0.000
In1 0.000 0.000 0.000
In2 0.500 0.000 0.000
# E_form (eV per atom): -0.34

***

# SrYZnNi2 | Alexandria | PBE | relaxed
data_SrYZnNi2
_chemical_formula_sum 'Sr1 Y1 Zn1 Ni2'
_cell_length_a 4.715
_cell_length_b 5.106
_cell_length_c 4.715
_cell_angle_alpha 90.00
_cell_angle_beta 90.00
_cell_angle_gamma 90.00
_space_group_name_H-M_alt 'P 1'
_space_group_IT_number 1
loop_
_space_group_symop_operation_xyz
'x,y,z'
loop_
_atom_site_label
_atom_site_fract_x
_atom_site_fract_y
_atom_site_fract_z
Y1 0.500 0.500 0.500
Sr1 0.000 0.500 0.000
Zn1 0.000 0.000 0.000
Ni1 0.000 0.000 0.500
Ni2 0.500 0.000 0.000
# E_form (eV per atom): 0.54

***

# Na2Li4Tl3 | Alexandria | PBE | relaxed
data_Na2Li4Tl3
_chemical_formula_sum 'Na2 Li4 Tl3'
_cell_length_a 4.960
_cell_length_b 4.987
_cell_length_c 9.312
_cell_angle_alpha 89.66
_cell_angle_beta 90.01
_cell_angle_gamma 60.17
_space_group_name_H-M_alt 'P 1'
_space_group_IT_number 1
loop_
_space_group_symop_operation_xyz
'x,y,z'
loop_
_atom_site_label
_atom_site_fract_x
_atom_site_fract_y
_atom_site_fract_z
Na1 0.332 0.336 0.779
Na2 0.668 0.664 0.221
Li1 0.666 0.669 0.899
Li2 0.002 0.996 0.344
Li3 0.998 0.004 0.656
Li4 0.334 0.331 0.101
Tl1 0.334 0.332 0.419
Tl2 0.000 0.000 0.000
Tl3 0.666 0.668 0.581
# E_form (eV per atom): -0.16

***

# LaNi3Ge3 | Alexandria | PBE | relaxed
data_LaNi3Ge3
_chemical_formula_sum 'La2 Ni6 Ge6'
_cell_length_a 6.452
_cell_length_b 6.452
_cell_length_c 6.452
_cell_angle_alpha 90.00
_cell_angle_beta 90.00
_cell_angle_gamma 90.00
_space_group_name_H-M_alt 'P 1'
_space_group_IT_number 1
loop_
_space_group_symop_operation_xyz
'x,y,z'
loop_
_atom_site_label
_atom_site_fract_x
_atom_site_fract_y
_atom_site_fract_z
Ni1 0.250 0.000 0.500
Ni2 0.000 0.500 0.250
Ni3 0.500 0.750 0.000
Ni4 0.750 0.000 0.500
Ni5 0.000 0.500 0.750
Ni6 0.500 0.250 0.000
Ge1 0.000 0.250 0.500
Ge2 0.000 0.750 0.500
Ge3 0.500 0.000 0.750
Ge4 0.750 0.500 0.000
Ge5 0.500 0.000 0.250
Ge6 0.250 0.500 0.000
La1 0.500 0.500 0.500
La2 0.000 0.000 0.000
# E_form (eV per atom): -0.29
# Energy above the most stable polymorph in this dataset (meV per atom): 25

***

# CsK2SnAu | Alexandria | PBE | relaxed
data_CsK2SnAu
_chemical_formula_sum 'Cs1 K2 Sn1 Au1'
_cell_length_a 6.841
_cell_length_b 6.841
_cell_length_c 5.275
_cell_angle_alpha 90.00
_cell_angle_beta 90.00
_cell_angle_gamma 90.00
_space_group_name_H-M_alt 'P 1'
_space_group_IT_number 1
loop_
_space_group_symop_operation_xyz
'x,y,z'
loop_
_atom_site_label
_atom_site_fract_x
_atom_site_fract_y
_atom_site_fract_z
Cs1 0.500 0.500 0.500
K1 0.000 0.500 0.000
K2 0.500 0.000 0.000
Au1 0.000 0.000 0.500
Sn1 0.000 0.000 0.000
# E_form (eV per atom): -0.06
# Energy above the most stable polymorph in this dataset (meV per atom): 89

***

# Sc2FeC | Alexandria | PBE | relaxed
data_Sc2FeC
_chemical_formula_sum 'Sc2 Fe1 C1'
_cell_length_a 8.277
_cell_length_b 8.277
_cell_length_c 8.277
_cell_angle_alpha 22.03
_cell_angle_beta 22.03
_cell_angle_gamma 22.03
_space_group_name_H-M_alt 'P 1'
_space_group_IT_number 1
loop_
_space_group_symop_operation_xyz
'x,y,z'
loop_
_atom_site_label
_atom_site_fract_x
_atom_site_fract_y
_atom_site_fract_z
Sc1 0.910 0.910 0.910
Sc2 0.090 0.090 0.090
C1 0.000 0.000 0.000
Fe1 0.500 0.500 0.500
# E_form (eV per atom): 1.09

***

# Sm2Ni3PdPt12 | Alexandria | PBE | relaxed
data_Sm2Ni3PdPt12
_chemical_formula_sum 'Sm2 Ni3 Pd1 Pt12'
_cell_length_a 7.793
_cell_length_b 7.793
_cell_length_c 7.793
_cell_angle_alpha 63.04
_cell_angle_beta 63.04
_cell_angle_gamma 63.04
_space_group_name_H-M_alt 'P 1'
_space_group_IT_number 1
loop_
_space_group_symop_operation_xyz
'x,y,z'
loop_
_atom_site_label
_atom_site_fract_x
_atom_site_fract_y
_atom_site_fract_z
Sm1 0.611 0.611 0.611
Sm2 0.389 0.389 0.389
Ni1 0.500 0.000 0.000
Ni2 0.000 0.500 0.000
Ni3 0.000 0.000 0.500
Pd1 0.000 0.000 0.000
Pt1 0.367 0.367 0.889
Pt2 0.862 0.862 0.387
Pt3 0.387 0.862 0.862
Pt4 0.889 0.367 0.367
Pt5 0.862 0.387 0.862
Pt6 0.367 0.889 0.367
Pt7 0.633 0.633 0.111
Pt8 0.138 0.138 0.613
Pt9 0.613 0.138 0.138
Pt10 0.111 0.633 0.633
Pt11 0.138 0.613 0.138
Pt12 0.633 0.111 0.633
# E_form (eV per atom): 0.07

***

# MnCu2Cl4 | Alexandria | PBE | relaxed
data_MnCu2Cl4
_chemical_formula_sum 'Mn1 Cu2 Cl4'
_cell_length_a 6.396
_cell_length_b 6.396
_cell_length_c 3.854
_cell_angle_alpha 90.00
_cell_angle_beta 90.00
_cell_angle_gamma 111.23
_space_group_name_H-M_alt 'P 1'
_space_group_IT_number 1
loop_
_space_group_symop_operation_xyz
'x,y,z'
loop_
_atom_site_label
_atom_site_fract_x
_atom_site_fract_y
_atom_site_fract_z
Mn1 0.214 0.214 0.000
Cu1 0.854 0.531 0.500
Cu2 0.531 0.854 0.500
Cl1 0.017 0.485 0.000
Cl2 0.480 0.480 0.500
Cl3 0.990 0.990 0.500
Cl4 0.485 0.017 0.000
# ΔE_f (raw) (eV/atom): -0.66
# Energy above the most stable polymorph in this dataset (meV per atom): 27

***

# Mg2AlTc | Alexandria | PBE | relaxed
data_Mg2AlTc
_chemical_formula_sum 'Mg2 Al1 Tc1'
_cell_length_a 5.202
_cell_length_b 5.202
_cell_length_c 2.792
_cell_angle_alpha 90.00
_cell_angle_beta 90.00
_cell_angle_gamma 116.40
_space_group_name_H-M_alt 'P 1'
_space_group_IT_number 1
loop_
_space_group_symop_operation_xyz
'x,y,z'
loop_
_atom_site_label
_atom_site_fract_x
_atom_site_fract_y
_atom_site_fract_z
Al1 0.000 0.500 0.500
Mg1 0.000 0.000 0.000
Mg2 0.500 0.500 0.000
Tc1 0.500 0.000 0.500
# E_form (eV per atom): 0.11

***

# Ni5Ir | Alexandria | PBE | relaxed
data_Ni5Ir
_chemical_formula_sum 'Ni5 Ir1'
_cell_length_a 4.599
_cell_length_b 4.599
_cell_length_c 4.009
_cell_angle_alpha 90.00
_cell_angle_beta 90.00
_cell_angle_gamma 120.00
_space_group_name_H-M_alt 'P 1'
_space_group_IT_number 1
loop_
_space_group_symop_operation_xyz
'x,y,z'
loop_
_atom_site_label
_atom_site_fract_x
_atom_site_fract_y
_atom_site_fract_z
Ni1 0.000 0.500 0.500
Ni2 0.333 0.667 0.000
Ni3 0.500 0.000 0.500
Ni4 0.500 0.500 0.500
Ni5 0.667 0.333 0.000
Ir1 0.000 0.000 0.000
# E_form (eV per atom): 0.36
# Energy above the most stable polymorph in this dataset (meV per atom): 339

***

# VCr5C4 | Alexandria | PBE | relaxed
data_VCr5C4
_chemical_formula_sum 'V1 Cr5 C4'
_cell_length_a 2.849
_cell_length_b 5.665
_cell_length_c 6.330
_cell_angle_alpha 105.41
_cell_angle_beta 103.00
_cell_angle_gamma 90.00
_space_group_name_H-M_alt 'P 1'
_space_group_IT_number 1
loop_
_space_group_symop_operation_xyz
'x,y,z'
loop_
_atom_site_label
_atom_site_fract_x
_atom_site_fract_y
_atom_site_fract_z
V1 0.500 0.000 0.000
Cr1 0.829 0.659 0.658
Cr2 0.835 0.144 0.670
Cr3 0.165 0.856 0.330
Cr4 0.500 0.500 0.000
Cr5 0.171 0.341 0.342
C1 0.327 0.896 0.655
C2 0.995 0.738 0.989
C3 0.673 0.104 0.345
C4 0.005 0.262 0.011
# E_form (eV per atom): -0.09

***

# Mg2CrFe | Alexandria | PBE | relaxed
data_Mg2CrFe
_chemical_formula_sum 'Mg2 Cr1 Fe1'
_cell_length_a 4.822
_cell_length_b 4.822
_cell_length_c 4.822
_cell_angle_alpha 129.05
_cell_angle_beta 129.26
_cell_angle_gamma 74.76
_space_group_name_H-M_alt 'P 1'
_space_group_IT_number 1
loop_
_space_group_symop_operation_xyz
'x,y,z'
loop_
_atom_site_label
_atom_site_fract_x
_atom_site_fract_y
_atom_site_fract_z
Cr1 0.750 0.250 0.500
Fe1 0.250 0.750 0.500
Mg1 0.000 0.000 0.000
Mg2 0.500 0.500 0.000
# E_form (eV per atom): 0.46
# Energy above the most stable polymorph in this dataset (meV per atom): 261

***

no.,uncorrected energy (eV per atom),size of the total moment (μB per formula unit)
1,-2.9542,0.00
2,-2.7432,0.00
3,-3.6575,0.00
4,-2.0912,0.00
5,-5.4541,0.00
6,-2.1280,0.15
7,-6.4948,0.00
8,-5.7362,4.29
9,-4.1960,4.97
10,-4.2173,0.00
11,-5.9389,4.24
12,-9.5074,0.00
13,-4.8631,5.72